Here is Ni3SeF after structural relaxation from the Alexandria database. Energies are from PBE with a Hubbard U.

POSCAR file:
```
Ni3SeF
1.0
4.146 0.000 0.000
0.000 4.146 0.000
0.000 0.000 4.146
Ni Se F
3 1 1
direct
0.000 0.500 0.000
0.000 0.000 0.500
0.500 0.000 0.000
0.500 0.500 0.500
0.000 0.000 0.000
```

Symmetry ... No. 221
Energy above the lowest structure with this stoichiometry ... 0 meV/atom